1.
A plane-wave DFT calculation with GGA-PBE was carried out for a relaxed CuHg2Pt crystal.

The excess energy over the best structure of this formula in the dataset comes out at 0.33 eV/f.u. For the density of states at the Fermi level, the calculation gives 0.3268 states/eV per atom. The value obtained for the calculated volume is 18.0 Å³ per atom. As for the density: 15.2 Mg/m³.

The space group is R-3m (No. 166, hexagonal axes) and the conventional cell measures 3.0437, 3.0437 and 26.9412 Å, with angles of 90.00, 90.00 and 120.00 degrees. The distinct sites, in fractional coordinates, are Cu at (0.0000, 0.0000, 0.0000), Hg at (0.0000, 0.0000, 0.2528) and Pt at (0.0000, 0.0000, 0.5000).

***

2.
A plane-wave DFT calculation with GGA-PBE was carried out for a relaxed CuHg2Pt crystal.

The excess energy over the best structure of this formula in the dataset comes out at 0.08 eV/f.u. For the density of states at the Fermi level, the calculation gives 0.2410 states/eV per atom. The value obtained for the calculated volume is 19.1 Å³ per atom. As for the density: 14.3 Mg/m³.

The space group is Pm (No. 6) and the conventional cell measures 3.865, 3.924 and 5.382 Å, with angles of 90.00, 110.60 and 90.00 degrees. The distinct sites, in fractional coordinates, are Cu at (0.000, 0.000, 0.000), Hg at (0.282, 0.000, 0.546), Hg at (0.555, 0.500, 0.113) and Pt at (0.841, 0.500, 0.668).

***

| no. | ΔH_f (0 K) (meV/atom) |
| --- | --- |
| 1 | 162 |
| 2 | 98 |